The following is a DFT calculation (PBE-GGA) of a relaxed structure of NdTmCu.

```
data_NdTmCu
_chemical_formula_sum 'Nd4 Tm4 Cu4'
_cell_length_a 6.796
_cell_length_b 6.796
_cell_length_c 6.796
_cell_angle_alpha 90.00
_cell_angle_beta 90.00
_cell_angle_gamma 90.00
_symmetry_space_group_name_H-M 'F -4 3 m'
_symmetry_Int_Tables_number 216
_symmetry_space_group_name_Hall 'F -4 2 3'
loop_
_atom_site_label
_atom_site_type_symbol
_atom_site_fract_x
_atom_site_fract_y
_atom_site_fract_z
_atom_site_occupancy
Nd1 Nd 0.000 0.000 0.000 1
Tm1 Tm 0.250 0.250 0.750 1
Cu1 Cu 0.000 0.000 0.500 1
```

- polymorph energy (0 for the lowest one) (meV per atom) = 0
- E_form (eV per atom) = 0.5813